Arrangement i

The following is a DFT calculation (GGA-PBE) of a relaxed MgFe2B4 crystal.

Output
V   8.5 A^3/atom
Total moment   3.222 μB per formula unit
D(E_F)   0.439 states/eV per atom
Space group   Immm

a = 6.717 Å, b = 6.717 Å, c = 6.717 Å
α = 154.32°, β = 153.12°, γ = 37.52°
Sites, in units of the cell vectors:
1 Mg 0.000 0.000 0.000
2 Fe 0.188 0.688 0.500
3 Fe 0.812 0.312 0.500
4 B 0.354 0.854 0.500
5 B 0.428 0.428 0.000
6 B 0.572 0.572 0.000
7 B 0.646 0.146 0.500



Arrangement ii

The following is a DFT calculation (GGA-PBE) of a relaxed MgFe2B4 crystal.

Output
V   12.2 A^3/atom
Total moment   3.894 μB per formula unit
D(E_F)   0.699 states/eV per atom
Space group   I4/mmm

a = 6.094 Å, b = 6.094 Å, c = 6.094 Å
α = 141.92°, β = 141.92°, γ = 54.95°
Sites, in units of the cell vectors:
1 Mg 0.000 0.000 0.000
2 Fe 0.395 0.395 0.000
3 Fe 0.605 0.605 0.000
4 B 0.000 0.500 0.500
5 B 0.214 0.214 0.000
6 B 0.500 0.000 0.500
7 B 0.786 0.786 0.000



The energy of each structure relative to the most stable one, in kJ/mol of atoms, is as follows: arrangement i 0.0; arrangement ii 179.8.



Arrangement i

The following is a DFT calculation (GGA-PBE) of a relaxed Mg14FeB crystal.

Output
V   20.6 A^3/atom
Total moment   2.154 μB per formula unit
D(E_F)   0.559 states/eV per atom
Space group   Amm2

a = 8.937 Å, b = 6.170 Å, c = 6.170 Å
α = 76.04°, β = 90.00°, γ = 90.00°
Sites, in units of the cell vectors:
1 Mg 0.000 0.000 0.000
2 Mg 0.000 0.458 0.458
3 Mg 0.000 0.525 0.934
4 Mg 0.000 0.934 0.525
5 Mg 0.233 0.232 0.232
6 Mg 0.289 0.641 0.641
7 Mg 0.309 0.124 0.731
8 Mg 0.309 0.731 0.124
9 Mg 0.500 0.399 0.971
10 Mg 0.500 0.971 0.399
11 Mg 0.691 0.124 0.731
12 Mg 0.691 0.731 0.124
13 Mg 0.711 0.641 0.641
14 Mg 0.767 0.232 0.232
15 Fe 0.500 0.425 0.425
16 B 0.500 0.810 0.810



Arrangement ii

The following is a DFT calculation (GGA-PBE) of a relaxed Mg14FeB crystal.

Output
V   20.2 A^3/atom
Total moment   2.380 μB per formula unit
D(E_F)   0.454 states/eV per atom
Space group   P-6m2

a = 6.201 Å, b = 6.201 Å, c = 9.688 Å
α = 90.00°, β = 90.00°, γ = 120.00°
Sites, in units of the cell vectors:
1 Mg 0.000 0.000 0.249
2 Mg 0.000 0.000 0.751
3 Mg 0.019 0.509 0.257
4 Mg 0.019 0.509 0.743
5 Mg 0.329 0.165 0.500
6 Mg 0.337 0.169 0.000
7 Mg 0.491 0.509 0.257
8 Mg 0.491 0.509 0.743
9 Mg 0.491 0.981 0.257
10 Mg 0.491 0.981 0.743
11 Mg 0.831 0.169 0.000
12 Mg 0.831 0.663 0.000
13 Mg 0.835 0.165 0.500
14 Mg 0.835 0.671 0.500
15 Fe 0.333 0.667 0.000
16 B 0.333 0.667 0.500



The energy of each structure relative to the most stable one, in kJ/mol of atoms, is as follows: arrangement i 0.0; arrangement ii 7.0.